<w>
A relaxed structure of B2C, computed with PBE-GGA.

Cell lengths 3.821, 4.136, 5.824 Å; angles 90.00, 106.73, 90.00 degrees
Space group P2 (No. 3)
One atom of each set of equivalent atoms:
B 0.000 0.000 0.000
B 0.159 0.310 0.842
B 0.278 0.008 0.645
B 0.279 0.685 0.143
B 0.500 0.303 0.500
C 0.000 0.736 0.500
C 0.161 0.515 0.348
C 0.500 0.508 0.000

## Properties
Fermi-level density of states: 2.18 states/eV/cell

=====

<x>
A relaxed structure of B2C, computed with PBE-GGA.

Cell lengths 2.684, 9.112, 3.697 Å; angles 90.00, 90.00, 90.00 degrees
Space group Pmn2_1 (No. 31)
One atom of each set of equivalent atoms:
B 0.000 0.041 0.000
B 0.000 0.288 0.440
B 0.000 0.437 0.136
B 0.000 0.615 0.305
C 0.000 0.771 0.099
C 0.000 0.915 0.315

## Properties
Fermi-level density of states: 3.01 states/eV/cell

=====

Stability check: which of them is least stable? <x>.

=====

<w>
A relaxed structure of BeCdAu5, computed with PBE-GGA.

Cell lengths 4.122, 4.122, 7.217 Å; angles 90.00, 90.00, 90.00 degrees
Space group P4/mmm (No. 123)
One atom of each set of equivalent atoms:
Be 0.000 0.000 0.000
Cd 0.500 0.500 0.500
Au 0.000 0.000 0.500
Au 0.000 0.500 0.196

## Properties
Fermi-level density of states: 2.14 states/eV/cell

=====

<x>
A relaxed structure of BeCdAu5, computed with PBE-GGA.

Cell lengths 4.103, 4.103, 7.307 Å; angles 90.00, 90.00, 90.00 degrees
Space group P4/mmm (No. 123)
One atom of each set of equivalent atoms:
Be 0.000 0.000 0.000
Cd 0.000 0.000 0.500
Au 0.000 0.500 0.195
Au 0.500 0.500 0.500

## Properties
Fermi-level density of states: 1.79 states/eV/cell

=====

Stability check: which of them is least stable? <x>.

=====

<w>
A relaxed structure of MgSiAs2, computed with PBE-GGA.

Cell lengths 4.773, 3.626, 4.957 Å; angles 90.00, 107.30, 90.00 degrees
Space group P2/m (No. 10)
One atom of each set of equivalent atoms:
Mg 0.000 0.000 0.000
Si 0.500 0.000 0.500
As 0.313 0.500 0.759

## Properties
Fermi-level density of states: 1.03 states/eV/cell

=====

<x>
A relaxed structure of MgSiAs2, computed with PBE-GGA.

Cell lengths 4.464, 4.464, 7.486 Å; angles 90.00, 90.00, 90.00 degrees
Space group I4/mmm (No. 139)
One atom of each set of equivalent atoms:
Mg 0.000 0.000 0.000
Si 0.000 0.000 0.500
As 0.000 0.500 0.250

## Properties
Fermi-level density of states: 4.08 states/eV/cell

=====

Stability check: which of them is least stable? <x>.